Density functional theory data (PBE-GGA) for crystalline Pr3MnTl at its relaxed geometry.

Values from the calculation:
energy relative to the elements = 106 meV/atom

abc: 5.274 5.274 5.274
angles: 90.00 90.00 90.00
Space group Pm-3m (No. 221)
Unique sites:
Pr1 0.000 0.000 0.500 x3
Mn1 0.000 0.000 0.000 x1
Tl1 0.500 0.500 0.500 x1

***

Density functional theory data (PBE-GGA) for crystalline KPuTe at its relaxed geometry.

Values from the calculation:
ΔE_f (raw) = -0.3190 eV/atom

abc: 3.9322 3.9322 42.8760
angles: 90.00 90.00 120.00
Space group R-3m (No. 166, hexagonal axes)
Unique sites:
K1 0.0000 0.0000 0.1192 x6
Pu1 0.0000 0.0000 0.3439 x6
Te1 0.0000 0.0000 0.2736 x6

***

Density functional theory data (PBE-GGA) for crystalline Rb2InGeOs at its relaxed geometry.

Values from the calculation:
energy relative to the elements = 1188 meV/atom

abc: 6.439 6.439 5.217
angles: 90.00 90.00 90.00
Space group P4/mmm (No. 123)
Unique sites:
Rb1 0.000 0.500 0.000 x2
In1 0.000 0.000 0.500 x1
Ge1 0.500 0.500 0.500 x1
Os1 0.000 0.000 0.000 x1

***

Density functional theory data (PBE-GGA) for crystalline Na5TlHg2Pb2 at its relaxed geometry.

Values from the calculation:
energy relative to the elements = -101 meV/atom

abc: 10.926 10.926 4.801
angles: 90.00 90.00 90.00
Space group P4/mbm (No. 127)
Unique sites:
Na1 0.000 0.500 0.000 x2
Na2 0.087 0.193 0.000 x8
Tl1 0.000 0.000 0.500 x2
Hg1 0.130 0.370 0.500 x4
Pb1 0.166 0.666 0.500 x4

***

no.,M_tot (μB/f.u.)
1,0.050
2,0.000
3,3.896
4,0.000